The following is a DFT calculation (GGA-PBE) of Sm12Sn6Ir after structural relaxation.

The calculation puts the formation energy at -8.593 eV/f.u. The uncorrected energy is -294.3 eV for the cell shown. The calculation puts the size of the total moment at 0.00 μB per formula unit.

Cell: 13.4347 13.4347 12.5390 Å, 90.00 90.00 120.00°
Closest atoms and distances in Å follow each position.
Space group R-3 (No. 148, hexagonal axes)
Unique sites:
Sm (0.0330, 0.2014, 0.3948) x18  4 Sn 3.14-3.28
Sm (0.0597, 0.1978, 0.8827) x18  1 Ir 2.78
Sn (0.0478, 0.2801, 0.6443) x18  7 Sm 3.14-3.32
Ir (0.0000, 0.0000, 0.0000) x3  6 Sm 2.78

=====

The following is a DFT calculation (GGA-PBE) of CdReP after structural relaxation.

The calculation puts the formation energy at 0.209 eV/f.u. The uncorrected energy is -18.6 eV for the cell shown. The value obtained for the energy above the lowest structure with this stoichiometry is 87.8 meV/atom. The calculation puts the size of the total moment at 0.00 μB per formula unit.

Cell: 3.0103 3.0103 6.6727 Å, 90.00 90.00 120.00°
Closest atoms and distances in Å follow each position.
Space group P3m1 (No. 156)
Unique sites:
Cd (0.0000, 0.0000, 0.0000) x1  3 Re 2.98, 6 Cd 3.01, 3 P 3.18
Re (0.6667, 0.3333, 0.6375) x1  3 P 2.35
P (0.3333, 0.6667, 0.3996) x1  3 Re 2.35

=====

The following is a DFT calculation (GGA-PBE) of AlSO2 after structural relaxation.

The uncorrected energy is -72.9 eV for the cell shown. The value obtained for the energy above the lowest structure with this stoichiometry is 0.0 meV/atom. The calculation puts the size of the total moment at 0.00 μB per formula unit. The calculation puts the formation energy from raw total energies at -1.628 eV/atom.

Cell: 2.8868 2.8868 17.6565 Å, 90.00 90.00 120.00°
Closest atoms and distances in Å follow each position.
Space group R-3m (No. 166, hexagonal axes)
Unique sites:
Al (0.0000, 0.0000, 0.0000) x3  6 O 1.92
S (0.0000, 0.0000, 0.5000) x3  2 O 1.99
O (0.0000, 0.0000, 0.3875) x6  3 Al 1.92, 1 S 1.99

=====

The following is a DFT calculation (GGA-PBE) of CsCu2Br7 after structural relaxation.

The uncorrected energy is -50.4 eV for the cell shown. The calculation puts the size of the total moment at 0.00 μB per formula unit. The calculation puts the formation energy from raw total energies at -0.447 eV/atom.

Cell: 7.8113 20.1527 4.2738 Å, 90.00 90.00 90.00°
Closest atoms and distances in Å follow each position.
Space group Cmmm (No. 65)
Unique sites:
Cs (0.0000, 0.0000, 0.0000) x2  8 Br 3.73
Cu (0.0000, 0.3771, 0.5000) x4  5 Br 2.41-2.61
Br (0.0000, 0.3219, 0.0000) x4  2 Cu 2.41
Br (0.0000, 0.5000, 0.5000) x2  2 Cu 2.48
Br (0.1680, 0.1371, 0.5000) x8  1 Cu 2.61, 1 Br 2.62

=====

The following is a DFT calculation (GGA-PBE) of Dy2Pd after structural relaxation.

The calculation puts the formation energy at -1.841 eV/f.u. The uncorrected energy is -65.0 eV for the cell shown. The calculation puts the size of the total moment at 0.00 μB per formula unit.

Cell: 12.2660 3.7827 8.0901 Å, 90.00 124.29 90.00°
Closest atoms and distances in Å follow each position.
Space group C2/m (No. 12)
Unique sites:
Dy (0.0922, 0.0000, 0.3817) x4  4 Pd 2.92-3.13
Dy (0.1605, 0.5000, 0.0693) x4  3 Pd 2.87-2.92
Pd (0.1335, 0.5000, 0.6865) x4  7 Dy 2.87-3.13, 1 Pd 2.95

=====

The following is a DFT calculation (GGA-PBE) of BaMgIn6 after structural relaxation.

The calculation puts the formation energy at -1.720 eV/f.u. The uncorrected energy is -21.7 eV for the cell shown. The value obtained for the energy above the lowest structure with this stoichiometry is 0.0 meV/atom. The calculation puts the size of the total moment at 0.00 μB per formula unit.

Cell: 5.2060 5.2060 8.7793 Å, 90.00 90.00 90.00°
Closest atoms and distances in Å follow each position.
Space group P4/mmm (No. 123)
Unique sites:
Ba (0.0000, 0.0000, 0.0000) x1  16 In 3.87-3.94
Mg (0.0000, 0.0000, 0.5000) x1  8 In 3.02
In (0.0000, 0.5000, 0.3265) x4  3 In 2.98-3.05, 2 Mg 3.02
In (0.5000, 0.5000, 0.1612) x2  5 In 2.83-2.98

=====

The following is a DFT calculation (GGA-PBE) of SrPr3Tl4 after structural relaxation.

The calculation puts the formation energy at -3.173 eV/f.u. The uncorrected energy is -28.7 eV for the cell shown. The calculation puts the size of the total moment at 0.00 μB per formula unit.

Cell: 3.9728 3.9728 15.9081 Å, 90.00 90.00 90.00°
Closest atoms and distances in Å follow each position.
Space group P4/mmm (No. 123)
Unique sites:
Sr (0.0000, 0.0000, 0.0000) x1  8 Tl 3.54
Pr (0.0000, 0.0000, 0.2542) x2  8 Tl 3.39-3.44
Pr (0.0000, 0.0000, 0.5000) x1  8 Tl 3.40
Tl (0.5000, 0.5000, 0.1353) x2  4 Pr 3.39, 4 Sr 3.54
Tl (0.5000, 0.5000, 0.3792) x2  8 Pr 3.40-3.44

=====

The following is a DFT calculation (GGA-PBE) of AlFe5B2Mo2 after structural relaxation.

The calculation puts the formation energy at -3.287 eV/f.u. The uncorrected energy is -168.7 eV for the cell shown. The calculation puts the size of the total moment at 0.00 μB per formula unit.

Cell: 8.7092 8.7092 2.7884 Å, 90.00 90.00 90.00°
Closest atoms and distances in Å follow each position.
Space group P4/mbm (No. 127)
Unique sites:
Al (0.0000, 0.0000, 0.0000) x2  8 Fe 2.44
Fe (0.0000, 0.5000, 0.5000) x2  4 B 2.05
Fe (0.0660, 0.2197, 0.5000) x8  2 B 2.02
B (0.1222, 0.3778, 0.0000) x4  6 Fe 2.02-2.05
Mo (0.1785, 0.6785, 0.0000) x4  3 B 2.45-2.66, 10 Fe 2.60-2.70

=====

The following is a DFT calculation (GGA-PBE) of TbRhBr after structural relaxation.

The uncorrected energy is -67.0 eV for the cell shown. The calculation puts the size of the total moment at 0.00 μB per formula unit. The calculation puts the formation energy from raw total energies at -1.030 eV/atom.

Cell: 5.2076 5.2095 10.8195 Å, 90.00 90.11 90.00°
Closest atoms and distances in Å follow each position.
Space group C2/m (No. 12)
Unique sites:
Tb (0.2479, 0.0000, 0.1864) x4  5 Rh 2.66-2.95
Rh (0.2492, 0.5000, 0.0599) x4  5 Tb 2.66-2.95, 4 Rh 2.90-2.92
Br (0.2479, 0.5000, 0.3416) x4  1 Rh 3.05, 4 Tb 3.10